Ba3ErP3 after structural relaxation. Source: the Alexandria database, functional GGA-PBE.

## Properties
Magnetization   0.00 Bohr magnetons per cell
V   35.4 Å³/atom
E_tot   -0.181 hartree per atom
Formation energy   -108.0 kJ/mol of atoms

Lattice parameters (Å, degrees): 9.3423 8.1717 13.0123 90.00 94.28 90.00
Last column: nearest neighbours and their distance in Å.
Space group P2_1/c (No. 14)
One atom of each set of equivalent atoms:
Ba (0.0790, 0.1537, 0.1383)  3 P 3.17-3.38
Ba (0.3404, 0.7320, 0.7994)  4 P 3.08-3.33
Ba (0.3906, 0.2268, 0.9242)  5 P 3.27-3.59
Er (0.1615, 0.5945, 0.0586)  4 P 2.66-2.73
P (0.1030, 0.0401, 0.3716)  2 Er 2.69-2.73
P (0.2638, 0.6075, 0.5213)  1 Er 2.67
P (0.3569, 0.0811, 0.6696)  1 Er 2.66

---

Pu3HgBi4 after structural relaxation. Source: the Alexandria database, functional GGA-PBE.

## Properties
Magnetization   5.57 Bohr magnetons per cell
V   29.5 Å³/atom
Fermi-level density of states   4.258 states/eV per atom
E_tot   -0.278 hartree per atom
Formation energy   -20.9 kJ/mol of atoms

Lattice parameters (Å, degrees): 3.4170 5.7110 12.1089 90.00 90.00 90.00
Last column: nearest neighbours and their distance in Å.
Space group Pmmm (No. 47)
One atom of each set of equivalent atoms:
Pu (0.0000, 0.0000, 0.0000)  8 Bi 3.33-3.38, 2 Pu 3.42
Pu (0.0000, 0.5000, 0.2641)  8 Bi 3.33-3.63, 2 Pu 3.42
Hg (0.0000, 0.0000, 0.5000)  8 Bi 3.33-3.57, 2 Hg 3.42
Bi (0.5000, 0.0000, 0.2411)  6 Pu 3.34-3.38, 2 Bi 3.42, 2 Hg 3.57
Bi (0.5000, 0.5000, 0.0000)  8 Pu 3.33-3.63, 2 Bi 3.42
Bi (0.5000, 0.5000, 0.5000)  4 Hg 3.33, 4 Pu 3.33, 2 Bi 3.42

---

Be4PdPt after structural relaxation. Source: the Alexandria database, functional GGA-PBE.

## Properties
Magnetization   0.00 Bohr magnetons per cell
V   10.2 Å³/atom
Fermi-level density of states   0.189 states/eV per atom
E_tot   -0.177 hartree per atom
Formation energy   -44.3 kJ/mol of atoms

Lattice parameters (Å, degrees): 6.2566 6.2566 6.2566 90.00 90.00 90.00
Last column: nearest neighbours and their distance in Å.
Space group F-43m (No. 216)
One atom of each set of equivalent atoms:
Be (0.1249, 0.1249, 0.1249)  6 Be 2.21
Pd (0.2500, 0.2500, 0.7500)  12 Be 2.59, 4 Pt 2.71
Pt (0.0000, 0.0000, 0.5000)  12 Be 2.59, 4 Pd 2.71

---

- What is the formula in the second record?
  Pu3HgBi4